1.
## CrCdCo2 (PBE-GGA)

Data for a geometry-optimized CrCdCo2 structure.

a b c (Å): 2.9399 4.4332 8.2880
angles (deg): 90.00 90.00 90.00
Last column: nearest neighbours and their distance in Å.
Space group Immm (No. 71)
One atom of each set of equivalent atoms:
Cr  0.0000  0.0000  0.0000 [2 per cell]  4 Co 2.41, 4 Cd 2.66
Cd  0.0000  0.0000  0.5000 [2 per cell]  4 Cr 2.66, 8 Co 2.68-2.92, 2 Cd 2.94
Co  0.0000  0.5000  0.2700 [4 per cell]  2 Cr 2.41, 2 Cd 2.68, 4 Co 2.68

Properties
The value obtained for the total energy is -5.69 eV per atom. Its calculated volume is 108 Å³/cell. The value obtained for the density of states at the Fermi level is 7.3 states/eV/f.u. For the formation energy, the calculation gives 0.49 eV/atom.

2.
## LuAlAu (PBE-GGA)

Data for a geometry-optimized LuAlAu structure.

a b c (Å): 3.3257 3.3257 10.8833
angles (deg): 90.00 90.00 90.00
Last column: nearest neighbours and their distance in Å.
Space group I4mm (No. 107)
One atom of each set of equivalent atoms:
Lu  0.0000  0.0000  0.0000 [2 per cell]  4 Au 3.05, 5 Al 3.13-3.38, 4 Lu 3.33
Al  0.0000  0.0000  0.3104 [2 per cell]  4 Au 2.76
Au  0.0000  0.0000  0.6778 [2 per cell]  4 Al 2.76, 4 Lu 3.05

Properties
The value obtained for the total energy is -4.39 eV per atom. Its calculated volume is 120 Å³/cell. The value obtained for the density of states at the Fermi level is 1.9 states/eV/f.u. For the formation energy, the calculation gives -0.54 eV/atom.

3.
## MoIrOs2 (PBE-GGA)

Data for a geometry-optimized MoIrOs2 structure.

a b c (Å): 6.2225 6.2225 6.2225
angles (deg): 90.00 90.00 90.00
Last column: nearest neighbours and their distance in Å.
Space group Fm-3m (No. 225)
One atom of each set of equivalent atoms:
Mo  0.0000  0.0000  0.0000 [4 per cell]  8 Os 2.69
Ir  0.0000  0.0000  0.5000 [4 per cell]  8 Os 2.69
Os  0.2500  0.2500  0.2500 [8 per cell]  4 Mo 2.69, 4 Ir 2.69

Properties
The value obtained for the total energy is -10.05 eV per atom. Its calculated volume is 241 Å³/cell. For the energy above the lowest structure with this stoichiometry, the calculation gives 13.45 kcal/mol of atoms. The value obtained for the density of states at the Fermi level is 6.3 states/eV/f.u. For the formation energy, the calculation gives 0.48 eV/atom.

4.
## Ca2SmAg2Pb2 (PBE-GGA)

Data for a geometry-optimized Ca2SmAg2Pb2 structure.

a b c (Å): 4.9347 4.9347 27.0108
angles (deg): 90.00 90.00 120.00
Last column: nearest neighbours and their distance in Å.
Space group R-3m (No. 166, hexagonal axes)
One atom of each set of equivalent atoms:
Ca  0.0000  0.0000  0.1336 [6 per cell]  3 Ag 3.07, 3 Ca 3.36, 3 Pb 3.39
Sm  0.0000  0.0000  0.0000 [3 per cell]  6 Pb 3.36, 2 Ca 3.61
Ag  0.0000  0.0000  0.4250 [6 per cell]  3 Pb 2.93, 3 Ca 3.07
Pb  0.0000  0.0000  0.2675 [6 per cell]  3 Ag 2.93

Properties
The value obtained for the total energy is -3.43 eV per atom. Its calculated volume is 570 Å³/cell. The value obtained for the density of states at the Fermi level is 3.2 states/eV/f.u. For the formation energy, the calculation gives -0.31 eV/atom.

5.
## MgTi2Br (PBE-GGA)

Data for a geometry-optimized MgTi2Br structure.

a b c (Å): 3.9073 3.9073 21.3319
angles (deg): 90.00 90.00 90.00
Last column: nearest neighbours and their distance in Å.
Space group I-42d (No. 122)
One atom of each set of equivalent atoms:
Mg  0.0000  0.0000  0.0000 [4 per cell]  4 Br 2.76, 4 Ti 3.00
Ti  0.2470  0.2500  0.1250 [8 per cell]  4 Ti 2.75-2.78, 2 Mg 3.00, 2 Br 3.01
Br  0.0000  0.0000  0.5000 [4 per cell]  4 Mg 2.76, 4 Ti 3.01

Properties
The value obtained for the total energy is -4.44 eV per atom. Its calculated volume is 326 Å³/cell. Its uncorrected formation energy is 1.30 eV per formula unit. For the energy above the lowest structure with this stoichiometry, the calculation gives 0.00 kcal/mol of atoms. The value obtained for the density of states at the Fermi level is 4.4 states/eV/f.u.

6.
## ScNiP3 (PBE-GGA)

Data for a geometry-optimized ScNiP3 structure.

a b c (Å): 4.4239 4.4239 4.4239
angles (deg): 90.00 90.00 90.00
Last column: nearest neighbours and their distance in Å.
Space group Pm-3m (No. 221)
One atom of each set of equivalent atoms:
Sc  0.0000  0.0000  0.0000 [1 per cell]  12 P 3.13
Ni  0.5000  0.5000  0.5000 [1 per cell]  6 P 2.21
P  0.0000  0.5000  0.5000 [3 per cell]  2 Ni 2.21

Properties
The value obtained for the total energy is -5.62 eV per atom. Its calculated volume is 87 Å³/cell. For the energy above the lowest structure with this stoichiometry, the calculation gives 0.00 kcal/mol of atoms. The value obtained for the density of states at the Fermi level is 3.9 states/eV/f.u. For the formation energy, the calculation gives 0.05 eV/atom.

Question: Look up the calculated volume of the first one.
Answer: 108 Å³/cell

Please write out number 6 again, unchanged.
## ScNiP3 (PBE-GGA)

Data for a geometry-optimized ScNiP3 structure.

a b c (Å): 4.4239 4.4239 4.4239
angles (deg): 90.00 90.00 90.00
Last column: nearest neighbours and their distance in Å.
Space group Pm-3m (No. 221)
One atom of each set of equivalent atoms:
Sc  0.0000  0.0000  0.0000 [1 per cell]  12 P 3.13
Ni  0.5000  0.5000  0.5000 [1 per cell]  6 P 2.21
P  0.0000  0.5000  0.5000 [3 per cell]  2 Ni 2.21

Properties
The value obtained for the total energy is -5.62 eV per atom. Its calculated volume is 87 Å³/cell. For the energy above the lowest structure with this stoichiometry, the calculation gives 0.00 kcal/mol of atoms. The value obtained for the density of states at the Fermi level is 3.9 states/eV/f.u. For the formation energy, the calculation gives 0.05 eV/atom.